(1)
This record from Alexandria via LeMat-Bulk describes crystalline Eu2Si4IrPd3 at its relaxed geometry. The functional is GGA-PBE.

Results
* ΔE_f (raw): -823 meV/atom
* total magnetization: 13.966 μB per formula unit
* E_tot: -74.91 eV per formula unit

Cell lengths 4.1850, 4.1850, 10.1742 Å; angles 90.00, 90.00, 90.00 degrees
Space group P-4m2 (No. 115)
Asymmetric unit:
Eu 0.0000 0.5000 0.2499 x2
Si 0.0000 0.5000 0.6275 x2
Si 0.0000 0.5000 0.8699 x2
Ir 0.0000 0.0000 0.5000 x1
Pd 0.0000 0.0000 0.0000 x1
Pd 0.5000 0.5000 0.0000 x1
Pd 0.5000 0.5000 0.5000 x1

---

(2)
This record from Alexandria via LeMat-Bulk describes crystalline SmEuIrPd at its relaxed geometry. The functional is GGA-PBE.

Results
* total magnetization: 6.849 μB per formula unit
* E_tot: -31.52 eV per formula unit

Cell lengths 7.0853, 7.0853, 7.0853 Å; angles 90.00, 90.00, 90.00 degrees
Space group F-43m (No. 216)
Asymmetric unit:
Sm 0.0000 0.0000 0.0000 x4
Eu 0.0000 0.0000 0.5000 x4
Ir 0.2500 0.2500 0.2500 x4
Pd 0.2500 0.2500 0.7500 x4

---

(3)
This record from Alexandria via LeMat-Bulk describes crystalline EuTmIrPd at its relaxed geometry. The functional is GGA-PBE.

Results
* total magnetization: 6.850 μB per formula unit
* E_tot: -31.54 eV per formula unit

Cell lengths 6.9611, 6.9611, 6.9611 Å; angles 90.00, 90.00, 90.00 degrees
Space group F-43m (No. 216)
Asymmetric unit:
Eu 0.0000 0.0000 0.0000 x4
Tm 0.0000 0.0000 0.5000 x4
Ir 0.2500 0.2500 0.2500 x4
Pd 0.2500 0.2500 0.7500 x4

---

(4)
This record from Alexandria via LeMat-Bulk describes crystalline EuZrIrPd at its relaxed geometry. The functional is GGA-PBE.

Results
* total magnetization: 7.139 μB per formula unit
* E_tot: -34.89 eV per formula unit

Cell lengths 6.8472, 6.8472, 6.8472 Å; angles 90.00, 90.00, 90.00 degrees
Space group F-43m (No. 216)
Asymmetric unit:
Eu 0.0000 0.0000 0.0000 x4
Zr 0.0000 0.0000 0.5000 x4
Ir 0.2500 0.2500 0.2500 x4
Pd 0.2500 0.2500 0.7500 x4